(1)
Below is crystalline TaRu2Pb at its relaxed geometry, with properties calculated at the PBE level.

Unit cell a=4.6438 b=4.6438 c=3.1797 alpha=90.00 beta=90.00 gamma=96.67
Element x y z (fractional)
Ta  0.0000  0.0000  0.0000
Ru  0.0000  0.5000  0.5000
Ru  0.5000  0.0000  0.5000
Pb  0.5000  0.5000  0.0000

Output
Total energy, eV per cell: -33.5
Magnetic moment, μB per formula unit: 0.000
Calculated formation energy, eV/atom: 0.1528

(2)
Below is crystalline Ca4GaAg2Hg at its relaxed geometry, with properties calculated at the PBE level.

Unit cell a=9.1438 b=9.1438 c=9.1438 alpha=33.46 beta=33.46 gamma=33.46
Element x y z (fractional)
Ca  0.1227  0.1227  0.1227
Ca  0.3730  0.3730  0.3730
Ca  0.6270  0.6270  0.6270
Ca  0.8773  0.8773  0.8773
Ga  0.0000  0.0000  0.0000
Ag  0.2506  0.2506  0.2506
Ag  0.7494  0.7494  0.7494
Hg  0.5000  0.5000  0.5000

Output
Total energy, eV per cell: -20.2
Magnetic moment, μB per formula unit: 0.000
Calculated formation energy, eV/atom: -0.4002